No. 1
Below is a relaxed Pm2NdCo2 crystal, with properties calculated at the PBE level.

Output
excess energy over the best structure of this formula in the dataset = 0.00 eV/f.u.
energy of formation from the pure elements = -0.04 eV/atom
crystal system = orthorhombic

a b c (Å): 4.1269 4.0251 7.6526
angles (deg): 105.25 90.00 90.00
Closest atoms and distances in Å follow each position.
Positions (direct):
Pm1 0.5000 0.3517 0.7033  6 Co 2.91-3.04
Co1 0.0000 0.2128 0.4257  2 Co 2.29
Co2 0.0000 0.7872 0.5743  2 Co 2.29
Pm2 0.5000 0.6483 0.2967  6 Co 2.91-3.04
Nd1 0.0000 0.0000 0.0000  2 Co 3.14

No. 2
Below is a relaxed FeAg2Te crystal, with properties calculated at the PBE level.

Output
E_form (uncorrected) = 1.84 eV/f.u.
crystal system = orthorhombic

a b c (Å): 5.4499 5.4499 2.9783
angles (deg): 90.00 90.00 118.85
Closest atoms and distances in Å follow each position.
Positions (direct):
Te1 0.0000 0.5000 0.5000  2 Fe 2.77, 2 Te 2.98
Ag1 0.0000 0.0000 0.0000  4 Ag 2.77-2.98
Fe1 0.5000 0.0000 0.5000  2 Te 2.77, 2 Fe 2.98
Ag2 0.5000 0.5000 0.0000  4 Ag 2.77-2.98

No. 3
Below is a relaxed Na4Th3FeS8 crystal, with properties calculated at the PBE level.

Output
E_form (uncorrected) = -22.71 eV/f.u.
crystal system = trigonal

a b c (Å): 7.9459 8.2003 7.9468
angles (deg): 118.99 120.00 90.00
Closest atoms and distances in Å follow each position.
Positions (direct):
Na1 0.5000 0.0000 0.0000  6 S 3.01
Th1 0.0000 0.5000 0.5000  6 S 2.80-2.84
Th2 0.5000 0.5000 0.5000  6 S 2.80-2.84
Th3 0.5000 0.5000 0.0000  6 S 2.80-2.84
Fe1 0.0000 0.5000 0.0000  6 S 2.70
S1 0.2368 0.7275 0.4735  1 Fe 2.70, 2 Th 2.80, 3 Na 2.92-3.01
S2 0.2459 0.2725 0.0092  1 Fe 2.70, 2 Th 2.80, 3 Na 2.92-3.01
S3 0.2511 0.2533 0.5022  3 Th 2.84, 3 Na 2.87
Na2 0.0000 0.0000 0.5000  6 S 2.87-2.92
S4 0.7541 0.7275 0.9908  1 Fe 2.70, 2 Th 2.80, 3 Na 2.92-3.01
S5 0.7632 0.2725 0.5265  1 Fe 2.70, 2 Th 2.80, 3 Na 2.92-3.01
Na3 0.0000 0.0000 0.0000  6 S 2.87-2.92
Na4 0.5000 0.0000 0.5000  6 S 2.87-2.92
S6 0.7633 0.2725 0.0092  1 Fe 2.70, 2 Th 2.80, 3 Na 2.92-3.01
S7 0.2367 0.7275 0.9908  1 Fe 2.70, 2 Th 2.80, 3 Na 2.92-3.01
S8 0.7489 0.7467 0.4978  3 Th 2.84, 3 Na 2.87

No. 4
Below is a relaxed Ti12NbIn6 crystal, with properties calculated at the PBE level.

Output
energy of formation from the pure elements = 0.02 eV/atom
crystal system = trigonal

a b c (Å): 7.1241 7.1241 7.1241
angles (deg): 92.16 92.16 92.16
Closest atoms and distances in Å follow each position.
Positions (direct):
Ti1 0.8513 0.6318 0.9383  4 Ti 2.71-3.01, 1 Nb 2.80, 2 In 2.93-3.01
Ti2 0.5432 0.2121 0.4666  3 Ti 2.71-2.83, 3 In 2.80-2.93
Ti3 0.7879 0.5334 0.4568  3 Ti 2.71-2.83, 3 In 2.80-2.93
Ti4 0.9383 0.8513 0.6318  4 Ti 2.71-3.01, 1 Nb 2.80, 2 In 2.93-3.01
Ti5 0.1487 0.3682 0.0617  4 Ti 2.71-3.01, 1 Nb 2.80, 2 In 2.93-3.01
In1 0.2853 0.1203 0.7387  9 Ti 2.80-3.12, 1 Nb 2.93, 2 In 3.10
In2 0.7147 0.8797 0.2613  9 Ti 2.80-3.12, 1 Nb 2.93, 2 In 3.10
In3 0.2613 0.7147 0.8797  9 Ti 2.80-3.12, 1 Nb 2.93, 2 In 3.10
In4 0.8797 0.2613 0.7147  9 Ti 2.80-3.12, 1 Nb 2.93, 2 In 3.10
Ti6 0.4666 0.5432 0.2121  3 Ti 2.71-2.83, 3 In 2.80-2.93
In5 0.1203 0.7387 0.2853  9 Ti 2.80-3.12, 1 Nb 2.93, 2 In 3.10
Ti7 0.0617 0.1487 0.3682  4 Ti 2.71-3.01, 1 Nb 2.80, 2 In 2.93-3.01
Ti8 0.3682 0.0617 0.1487  4 Ti 2.71-3.01, 1 Nb 2.80, 2 In 2.93-3.01
In6 0.7387 0.2853 0.1203  9 Ti 2.80-3.12, 1 Nb 2.93, 2 In 3.10
Ti9 0.5334 0.4568 0.7879  3 Ti 2.71-2.83, 3 In 2.80-2.93
Ti10 0.4568 0.7879 0.5334  3 Ti 2.71-2.83, 3 In 2.80-2.93
Ti11 0.6318 0.9383 0.8513  4 Ti 2.71-3.01, 1 Nb 2.80, 2 In 2.93-3.01
Nb1 0.0000 0.0000 0.0000  6 Ti 2.80, 6 In 2.93
Ti12 0.2121 0.4666 0.5432  3 Ti 2.71-2.83, 3 In 2.80-2.93

No. 5
Below is a relaxed ZrCl2F2 crystal, with properties calculated at the PBE level.

Output
E_form (uncorrected) = -12.81 eV/f.u.
crystal system = monoclinic

a b c (Å): 3.7871 5.6356 5.6356
angles (deg): 98.98 90.39 90.39
Closest atoms and distances in Å follow each position.
Positions (direct):
Cl1 0.5049 0.2361 0.2361  2 Zr 2.56
Cl2 0.4951 0.7639 0.7639  2 Zr 2.56
F1 0.0000 0.7712 0.2288  1 Zr 1.96
F2 0.0000 0.2288 0.7712  1 Zr 1.96
Zr1 0.0000 0.0000 0.0000  2 F 1.96

No. 6
Below is a relaxed In5AgSe8 crystal, with properties calculated at the PBE level.

Output
E_form (uncorrected) = -6.65 eV/f.u.
excess energy over the best structure of this formula in the dataset = 0.37 eV/f.u.
crystal system = cubic

a b c (Å): 8.1563 8.1563 8.1563
angles (deg): 60.00 60.00 60.00
Closest atoms and distances in Å follow each position.
Positions (direct):
In1 0.1444 0.6185 0.6185  6 Se 2.73-2.86
Se1 0.3817 0.3817 0.3817  1 Ag 2.63, 3 In 2.73
Se2 0.8549 0.3817 0.3817  1 Ag 2.63, 3 In 2.73
Se3 0.8652 0.8652 0.4044  4 In 2.69-2.86
Se4 0.8652 0.4044 0.8652  4 In 2.69-2.86
In2 0.6185 0.6185 0.1444  6 Se 2.73-2.86
Se5 0.3817 0.8549 0.3817  1 Ag 2.63, 3 In 2.73
In3 0.6185 0.6185 0.6185  6 Se 2.73-2.86
Se6 0.4044 0.8652 0.8652  4 In 2.69-2.86
Se7 0.8652 0.8652 0.8652  4 In 2.69-2.86
Se8 0.3817 0.3817 0.8549  1 Ag 2.63, 3 In 2.73
Ag1 0.2500 0.2500 0.2500  4 Se 2.63
In4 0.0000 0.0000 0.0000  4 Se 2.69
In5 0.6185 0.1444 0.6185  6 Se 2.73-2.86

No. 7
Below is a relaxed BAsO3 crystal, with properties calculated at the PBE level.

Output
E_form (uncorrected) = 1.18 eV/f.u.
crystal system = cubic

a b c (Å): 3.6521 3.6521 3.6521
angles (deg): 90.00 90.00 90.00
Closest atoms and distances in Å follow each position.
Positions (direct):
O1 0.0000 0.5000 0.0000  2 As 1.83
O2 0.0000 0.0000 0.5000  2 As 1.83
B1 0.5000 0.5000 0.5000  12 O 2.58
O3 0.5000 0.0000 0.0000  2 As 1.83
As1 0.0000 0.0000 0.0000  6 O 1.83

No. 8
Below is a relaxed LiCeInO4 crystal, with properties calculated at the PBE level.

Output
E_form (uncorrected) = -16.22 eV/f.u.
crystal system = orthorhombic

a b c (Å): 5.5458 5.5458 7.1282
angles (deg): 90.00 90.00 112.97
Closest atoms and distances in Å follow each position.
Positions (direct):
Li1 0.1594 0.8406 0.2500  4 O 2.02-2.13
O1 0.2655 0.7345 0.0026  1 Li 2.02, 1 In 2.06, 1 Ce 2.17
O2 0.7345 0.2655 0.5026  1 Li 2.02, 1 In 2.06, 1 Ce 2.17
O3 0.2518 0.2540 0.7500  1 In 2.13, 1 Li 2.13, 2 Ce 2.34
In1 0.8435 0.1565 0.2500  4 O 2.06-2.13
Li2 0.8406 0.1594 0.7500  4 O 2.02-2.13
O4 0.2655 0.7345 0.4974  1 Li 2.02, 1 In 2.06, 1 Ce 2.17
Ce1 0.5000 0.5000 0.0000  6 O 2.17-2.34
O5 0.2540 0.2518 0.2500  1 In 2.13, 1 Li 2.13, 2 Ce 2.34
O6 0.7482 0.7460 0.2500  1 In 2.13, 1 Li 2.13, 2 Ce 2.34
O7 0.7345 0.2655 0.9974  1 Li 2.02, 1 In 2.06, 1 Ce 2.17
Ce2 0.5000 0.5000 0.5000  6 O 2.17-2.34
O8 0.7460 0.7482 0.7500  1 In 2.13, 1 Li 2.13, 2 Ce 2.34
In2 0.1565 0.8435 0.7500  4 O 2.06-2.13

| no. | DFT total energy (eV per atom) |
| --- | --- |
| 1 | -5.7387 |
| 2 | -3.8663 |
| 3 | -5.7332 |
| 4 | -6.3652 |
| 5 | -5.7595 |
| 6 | -3.6480 |
| 7 | -5.0041 |
| 8 | -6.6621 |